# GGA+U TiV4FeO12, optimized geometry
data_TiV4FeO12
_space_group_name_H-M_alt 'C 1 2 1'
_space_group_IT_number 5
_cell_length_a 10.640
_cell_length_b 9.146
_cell_length_c 5.635
_cell_angle_alpha 90.00
_cell_angle_beta 108.02
_cell_angle_gamma 90.00
loop_
_space_group_symop_operation_xyz
'x,y,z'
'-x,y,-z'
'x+1/2,y+1/2,z'
'-x+1/2,y+1/2,-z'
loop_
_atom_site_label
_atom_site_fract_x
_atom_site_fract_y
_atom_site_fract_z
Ti1 0.000 0.000 0.000
V1 0.218 0.509 0.555
V2 0.224 0.304 0.078
Fe1 0.000 0.820 0.500
O1 0.101 0.851 0.884
O2 0.109 0.985 0.360
O3 0.127 0.148 0.977
O4 0.155 0.444 0.249
O5 0.162 0.407 0.759
O6 0.179 0.695 0.577
# * VASP energy: -7.729 eV per atom
# * M_tot: 6.07 μB/f.u.